(1)
An optimized crystal structure of La2CuSbS5, computed with PBEsol.

Magnetization   0.0000 μB per atom
VASP energy   -5.997 eV per atom
SG   No. 46
Formation energy from raw total energies   -12.47 eV per formula unit

Cell lengths 8.432, 8.432, 8.432 Å; angles 78.00, 127.55, 126.75 degrees
Element x y z (fractional)
La 0.000 0.000 0.000
La 0.000 0.500 0.500
La 0.253 0.137 0.616
La 0.521 0.637 0.384
Cu 0.532 0.032 0.500
Cu 0.532 0.532 0.000
Sb 0.538 0.960 0.077
Sb 0.883 0.460 0.923
S 0.017 0.755 0.761
S 0.173 0.433 0.939
S 0.173 0.734 0.239
S 0.494 0.234 0.061
S 0.494 0.933 0.761
S 0.502 0.284 0.429
S 0.502 0.573 0.718
S 0.855 0.073 0.571
S 0.855 0.784 0.282
S 0.994 0.255 0.239


(2)
An optimized crystal structure of LaCuSb2S, computed with PBEsol.

Magnetization   0.0001 μB per atom
VASP energy   -4.976 eV per atom
SG   No. 123
Formation energy from raw total energies   -1.70 eV per formula unit

Cell lengths 5.022, 5.022, 4.721 Å; angles 90.00, 90.00, 90.00 degrees
Element x y z (fractional)
La 0.000 0.000 0.000
Cu 0.500 0.500 0.500
Sb 0.000 0.500 0.500
Sb 0.500 0.000 0.500
S 0.500 0.500 0.000


(3)
An optimized crystal structure of LaCu2Sb, computed with PBEsol.

Magnetization   0.0000 μB per atom
VASP energy   -4.768 eV per atom
SG   No. 99
Formation energy from raw total energies   -0.50 eV per formula unit

Cell lengths 3.324, 3.324, 7.075 Å; angles 90.00, 90.00, 90.00 degrees
Element x y z (fractional)
La 0.000 0.000 0.000
Cu 0.000 0.000 0.567
Cu 0.500 0.500 0.710
Sb 0.500 0.500 0.336


(4)
An optimized crystal structure of La4Cu5Sb8, computed with PBEsol.

Magnetization   0.0000 μB per atom
VASP energy   -5.367 eV per atom
SG   No. 99
Formation energy from raw total energies   -11.73 eV per formula unit

Cell lengths 4.377, 4.377, 20.474 Å; angles 90.00, 90.00, 90.00 degrees
Element x y z (fractional)
La 0.000 0.000 0.000
La 0.000 0.000 0.488
La 0.500 0.500 0.248
La 0.500 0.500 0.748
Cu 0.000 0.000 0.687
Cu 0.000 0.500 0.369
Cu 0.000 0.500 0.876
Cu 0.500 0.000 0.369
Cu 0.500 0.000 0.876
Sb 0.000 0.000 0.296
Sb 0.000 0.000 0.808
Sb 0.000 0.500 0.123
Sb 0.000 0.500 0.615
Sb 0.500 0.000 0.123
Sb 0.500 0.000 0.615
Sb 0.500 0.500 0.443
Sb 0.500 0.500 0.950